Fe2AgP at its PBEsol-relaxed geometry. Source: the Alexandria database, functional SCAN.

```
Fe2AgP
1.0
2.730 0.000 0.000
0.000 3.918 0.000
-1.195 0.000 4.842
Fe Ag P
2 1 1
Direct
0.000 0.000 0.000
0.330 0.500 0.786
0.707 0.000 0.481
0.962 0.500 0.174
```

Symmetry: Pm
E_tot, eV per atom: -19.2864


FeAg2P at its PBEsol-relaxed geometry. Source: the Alexandria database, functional SCAN.

```
FeAg2P
1.0
-1.860 1.860 4.285
1.860 -1.860 4.285
1.860 1.860 -4.285
Fe Ag P
1 2 1
Direct
0.000 0.000 0.000
0.250 0.750 0.500
0.750 0.250 0.500
0.500 0.500 0.000
```

Symmetry: I4/mmm
E_tot, eV per atom: -22.4473


FeAgP2 at its PBEsol-relaxed geometry. Source: the Alexandria database, functional SCAN.

```
FeAgP2
1.0
-1.811 1.811 4.225
1.811 -1.811 4.225
1.811 1.811 -4.225
Fe Ag P
1 1 2
Direct
0.000 0.000 0.000
0.250 0.750 0.500
0.500 0.500 0.000
0.750 0.250 0.500
```

Symmetry: I-4m2
Energy relative to the lowest polymorph listed for this composition, meV/atom: 174
E_tot, eV per atom: -17.0479


FeAgP2 at its PBEsol-relaxed geometry. Source: the Alexandria database, functional SCAN.

```
FeAgP2
1.0
3.042 0.000 0.000
0.000 3.042 0.000
0.000 0.000 5.853
Fe Ag P
1 1 2
Direct
0.000 0.000 0.000
0.500 0.500 0.660
0.000 0.000 0.380
0.500 0.500 0.105
```

Symmetry: P4mm
Energy relative to the lowest polymorph listed for this composition, meV/atom: 26
E_tot, eV per atom: -17.1965


Fe2AgP at its PBEsol-relaxed geometry. Source: the Alexandria database, functional SCAN.

```
Fe2AgP
1.0
3.947 -1.419 0.000
3.947 1.419 0.000
-0.486 0.000 4.788
Fe Ag P
2 1 1
Direct
0.000 0.000 0.000
0.731 0.731 0.207
0.476 0.476 0.501
0.271 0.271 0.863
```

Symmetry: Cm
E_tot, eV per atom: -19.3368


FeAgP at its PBEsol-relaxed geometry. Source: the Alexandria database, functional SCAN.

```
FeAgP
1.0
2.812 0.000 0.000
-1.406 2.435 0.000
0.000 0.000 6.066
Fe Ag P
1 1 1
Direct
0.000 0.000 0.000
0.333 0.667 0.366
0.667 0.333 0.757
```

Symmetry: P3m1
Energy relative to the lowest polymorph listed for this composition, meV/atom: 0
E_tot, eV per atom: -19.8240


FeAgP at its PBEsol-relaxed geometry. Source: the Alexandria database, functional SCAN.

```
FeAgP
1.0
3.690 0.000 0.000
-1.845 3.196 0.000
0.000 0.000 3.450
Fe Ag P
1 1 1
Direct
0.000 0.000 0.000
0.333 0.667 0.500
0.667 0.333 0.000
```

Symmetry: P-6m2
Energy relative to the lowest polymorph listed for this composition, meV/atom: 59
E_tot, eV per atom: -19.7647


FeAgPb2 at its PBEsol-relaxed geometry. Source: the Alexandria database, functional SCAN.

```
FeAgPb2
1.0
-2.256 2.268 4.072
2.256 -2.268 4.072
2.256 2.268 -4.072
Fe Ag Pb
1 1 2
Direct
0.000 0.000 0.000
0.500 0.500 0.000
0.249 0.749 0.500
0.751 0.251 0.500
```

Symmetry: Immm
Energy relative to the lowest polymorph listed for this composition, meV/atom: 125
E_tot, eV per atom: -49.8037


FeAg2Pb at its PBEsol-relaxed geometry. Source: the Alexandria database, functional SCAN.

```
FeAg2Pb
1.0
3.083 0.000 0.000
0.000 3.121 0.000
0.000 0.000 7.478
Fe Ag Pb
1 2 1
Direct
0.000 0.000 0.000
0.000 0.000 0.435
0.500 0.500 0.202
0.500 0.500 0.738
```

Symmetry: Pmm2
E_tot, eV per atom: -38.8189


Fe2AgPb2 at its PBEsol-relaxed geometry. Source: the Alexandria database, functional SCAN.

```
Fe2AgPb2
1.0
-2.563 2.563 3.782
2.563 -2.563 3.782
2.563 2.563 -3.782
Fe Ag Pb
2 1 2
Direct
0.142 0.142 0.000
0.858 0.858 0.000
0.500 0.500 0.000
0.250 0.750 0.500
0.750 0.250 0.500
```

Symmetry: I4/mmm
E_tot, eV per atom: -43.2327


FeAgPb2 at its PBEsol-relaxed geometry. Source: the Alexandria database, functional SCAN.

```
FeAgPb2
1.0
1.649 0.952 8.807
-1.649 0.952 8.807
0.000 -1.905 8.807
Fe Ag Pb
1 1 2
Direct
0.000 0.000 0.000
0.500 0.500 0.500
0.257 0.257 0.257
0.743 0.743 0.743
```

Symmetry: R-3m
Energy relative to the lowest polymorph listed for this composition, meV/atom: 90
E_tot, eV per atom: -49.8389


FeAgPb2 at its PBEsol-relaxed geometry. Source: the Alexandria database, functional SCAN.

```
FeAgPb2
1.0
4.291 0.000 0.000
0.000 1.855 5.232
0.000 -1.855 5.232
Fe Ag Pb
1 1 2
Direct
0.000 0.000 0.000
0.500 0.154 0.154
0.000 0.727 0.727
0.500 0.436 0.436
```

Symmetry: Amm2
Energy relative to the lowest polymorph listed for this composition, meV/atom: 0
E_tot, eV per atom: -49.9287


FeAg2Pd at its PBEsol-relaxed geometry. Source: the Alexandria database, functional SCAN.

```
FeAg2Pd
1.0
0.000 3.104 3.104
3.104 0.000 3.104
3.104 3.104 0.000
Fe Ag Pd
1 2 1
Direct
0.000 0.000 0.000
0.250 0.250 0.250
0.750 0.750 0.750
0.500 0.500 0.500
```

Symmetry: Fm-3m
E_tot, eV per atom: -28.2062


Fe2AgPd at its PBEsol-relaxed geometry. Source: the Alexandria database, functional SCAN.

```
Fe2AgPd
1.0
0.000 3.024 3.024
3.024 0.000 3.024
3.024 3.024 0.000
Fe Ag Pd
2 1 1
Direct
0.250 0.250 0.250
0.750 0.750 0.750
0.000 0.000 0.000
0.500 0.500 0.500
```

Symmetry: Fm-3m
E_tot, eV per atom: -24.8935


FeAgPt at its PBEsol-relaxed geometry. Source: the Alexandria database, functional SCAN.

```
FeAgPt
1.0
0.000 2.985 2.985
2.985 0.000 2.985
2.985 2.985 0.000
Fe Ag Pt
1 1 1
Direct
0.000 0.000 0.000
0.500 0.500 0.500
0.750 0.750 0.750
```

Symmetry: F-43m
E_tot, eV per atom: -39.5795


FeAg2Pt at its PBEsol-relaxed geometry. Source: the Alexandria database, functional SCAN.

```
FeAg2Pt
1.0
4.514 -1.383 0.000
4.514 1.383 0.000
-0.887 0.000 4.803
Fe Ag Pt
1 2 1
Direct
0.000 0.000 0.000
0.505 0.505 0.517
0.749 0.749 0.279
0.260 0.260 0.798
```

Symmetry: Cm
E_tot, eV per atom: -37.7038


FeAg2Pt at its PBEsol-relaxed geometry. Source: the Alexandria database, functional SCAN.

```
FeAg2Pt
1.0
-1.983 1.983 3.803
1.983 -1.983 3.803
1.983 1.983 -3.803
Fe Ag Pt
1 2 1
Direct
0.000 0.000 0.000
0.250 0.750 0.500
0.500 0.500 0.000
0.750 0.250 0.500
```

Symmetry: I-4m2
E_tot, eV per atom: -37.7147


Fe2ReAg at its PBEsol-relaxed geometry. Source: the Alexandria database, functional SCAN.

```
Fe2ReAg
1.0
2.583 0.000 0.000
0.000 4.034 0.000
-1.002 0.000 5.100
Fe Re Ag
2 1 1
Direct
0.000 0.000 0.000
0.374 0.500 0.244
0.856 0.000 0.453
0.461 0.500 0.753
```

Symmetry: Pm
E_tot, eV per atom: -34.3177


Fe2AgRh at its PBEsol-relaxed geometry. Source: the Alexandria database, functional SCAN.

```
Fe2AgRh
1.0
1.347 0.778 8.523
-1.347 0.778 8.523
0.000 -1.556 8.523
Fe Ag Rh
2 1 1
Direct
0.000 0.000 0.000
0.259 0.259 0.259
0.504 0.504 0.504
0.745 0.745 0.745
```

Symmetry: R3m
E_tot, eV per atom: -25.2584


Fe2AgRh at its PBEsol-relaxed geometry. Source: the Alexandria database, functional SCAN.

```
Fe2AgRh
1.0
2.875 0.000 0.000
0.000 2.875 0.000
0.000 0.000 6.483
Fe Ag Rh
2 1 1
Direct
0.000 0.000 0.000
0.500 0.500 0.211
0.500 0.500 0.732
0.000 0.000 0.434
```

Symmetry: P4mm
E_tot, eV per atom: -25.2920


FeAgRh2 at its PBEsol-relaxed geometry. Source: the Alexandria database, functional SCAN.

```
FeAgRh2
1.0
-1.901 1.901 3.812
1.901 -1.901 3.812
1.901 1.901 -3.812
Fe Ag Rh
1 1 2
Direct
0.000 0.000 0.000
0.250 0.750 0.500
0.500 0.500 0.000
0.750 0.250 0.500
```

Symmetry: I-4m2
Energy relative to the lowest polymorph listed for this composition, meV/atom: 63
E_tot, eV per atom: -29.1254


FeAg3Rh at its PBEsol-relaxed geometry. Source: the Alexandria database, functional SCAN.

```
FeAg3Rh
1.0
4.855 0.000 0.000
0.000 4.855 0.000
0.000 0.000 4.855
Fe Ag Rh
1 3 1
Direct
0.000 0.000 0.000
0.000 0.500 0.500
0.500 0.000 0.500
0.500 0.500 0.000
0.500 0.500 0.500
```

Symmetry: Pm-3m
E_tot, eV per atom: -27.7024


Fe2AgRh2 at its PBEsol-relaxed geometry. Source: the Alexandria database, functional SCAN.

```
Fe2AgRh2
1.0
-1.884 1.884 4.883
1.884 -1.884 4.883
1.884 1.884 -4.883
Fe Ag Rh
2 1 2
Direct
0.099 0.099 0.000
0.901 0.901 0.000
0.500 0.500 0.000
0.250 0.750 0.500
0.750 0.250 0.500
```

Symmetry: I4/mmm
E_tot, eV per atom: -26.5567


FeAgRh2 at its PBEsol-relaxed geometry. Source: the Alexandria database, functional SCAN.

```
FeAgRh2
1.0
3.859 0.000 0.000
0.000 3.859 0.000
0.000 0.000 3.724
Fe Ag Rh
1 1 2
Direct
0.000 0.000 0.000
0.500 0.500 0.000
0.000 0.500 0.500
0.500 0.000 0.500
```

Symmetry: P4/mmm
Energy relative to the lowest polymorph listed for this composition, meV/atom: 32
E_tot, eV per atom: -29.1564


FeAgRh2 at its PBEsol-relaxed geometry. Source: the Alexandria database, functional SCAN.

```
FeAgRh2
1.0
4.485 -1.348 0.000
4.485 1.348 0.000
-1.025 0.000 4.564
Fe Ag Rh
1 1 2
Direct
0.000 0.000 0.000
0.500 0.500 0.500
0.263 0.263 0.765
0.737 0.737 0.235
```

Symmetry: C2/m
Energy relative to the lowest polymorph listed for this composition, meV/atom: 0
E_tot, eV per atom: -29.1885


FeAg2Ru at its PBEsol-relaxed geometry. Source: the Alexandria database, functional SCAN.

```
FeAg2Ru
1.0
3.374 0.000 0.000
0.000 4.007 0.000
0.000 0.000 4.327
Fe Ag Ru
1 2 1
Direct
0.000 0.000 0.000
0.000 0.500 0.500
0.500 0.000 0.500
0.500 0.500 0.000
```

Symmetry: Pmmm
Energy relative to the lowest polymorph listed for this composition, meV/atom: 0
E_tot, eV per atom: -28.4885


FeAgRu2 at its PBEsol-relaxed geometry. Source: the Alexandria database, functional SCAN.

```
FeAgRu2
1.0
1.378 -2.239 0.000
1.378 2.239 0.000
0.000 0.000 9.033
Fe Ag Ru
1 1 2
Direct
0.000 0.000 0.000
0.500 0.500 0.255
0.000 0.000 0.527
0.500 0.500 0.770
```

Symmetry: Cmm2
Energy relative to the lowest polymorph listed for this composition, meV/atom: 0
E_tot, eV per atom: -29.3733


FeAg2Ru at its PBEsol-relaxed geometry. Source: the Alexandria database, functional SCAN.

```
FeAg2Ru
1.0
0.000 3.084 3.084
3.084 0.000 3.084
3.084 3.084 0.000
Fe Ag Ru
1 2 1
Direct
0.000 0.000 0.000
0.500 0.500 0.500
0.750 0.750 0.750
0.250 0.250 0.250
```

Symmetry: F-43m
Energy relative to the lowest polymorph listed for this composition, meV/atom: 11
E_tot, eV per atom: -28.4771


FeAgRu2 at its PBEsol-relaxed geometry. Source: the Alexandria database, functional SCAN.

```
FeAgRu2
1.0
3.754 0.000 0.000
0.000 3.754 0.000
0.000 0.000 3.841
Fe Ag Ru
1 1 2
Direct
0.000 0.000 0.000
0.500 0.500 0.000
0.000 0.500 0.500
0.500 0.000 0.500
```

Symmetry: P4/mmm
Energy relative to the lowest polymorph listed for this composition, meV/atom: 73
E_tot, eV per atom: -29.3005


FeAg2Ru at its PBEsol-relaxed geometry. Source: the Alexandria database, functional SCAN.

```
FeAg2Ru
1.0
3.723 0.000 0.000
0.000 3.723 0.000
0.000 0.000 4.214
Fe Ag Ru
1 2 1
Direct
0.000 0.000 0.000
0.000 0.500 0.500
0.500 0.000 0.500
0.500 0.500 0.000
```

Symmetry: P4/mmm
Energy relative to the lowest polymorph listed for this composition, meV/atom: 1
E_tot, eV per atom: -28.4871


FeAgSb at its PBEsol-relaxed geometry. Source: the Alexandria database, functional SCAN.

```
FeAgSb
1.0
4.412 0.000 0.000
-2.206 3.821 0.000
0.000 0.000 3.069
Fe Ag Sb
1 1 1
Direct
0.000 0.000 0.000
0.667 0.333 0.498
0.333 0.667 0.993
```

Formation energy (no corrections), eV/f.u.: 1.4
Symmetry: P3m1
E_tot, eV per atom: -28.4576